Density functional theory data (PBE) for Li4AgSn2Pd after structural relaxation.

POSCAR file:
```
Li4AgSn2Pd
1.0
4.562 0.000 0.000
0.000 4.562 0.000
0.000 0.000 6.452
Ag Li Pd Sn
1 4 1 2
Cartesian
0.000 0.000 0.000
2.281 2.281 0.000
2.281 0.000 1.641
0.000 0.000 3.226
0.000 2.281 4.811
2.281 2.281 3.226
0.000 2.281 1.705
2.281 0.000 4.746
```

***

Density functional theory data (PBE) for LiAgSnPd after structural relaxation.

POSCAR file:
```
LiAgSnPd
1.0
2.951 1.038 3.357
-0.429 -1.970 4.122
3.078 -3.106 1.390
Ag Li Pd Sn
1 1 1 1
Cartesian
2.800 -2.019 4.434
4.200 -3.029 6.652
0.000 0.000 0.000
1.400 -1.010 2.217
```

Energy relative to the lowest polymorph listed for this composition (meV/atom): 0.0

***

Density functional theory data (PBE) for LiAg3Te4Pd after structural relaxation.

POSCAR file:
```
LiAg3Te4Pd
1.0
-3.088 2.121 5.168
-5.573 -1.582 -2.681
0.390 -5.809 2.617
Ag Li Pd Te
3 1 1 4
Cartesian
-4.331 0.269 1.244
-1.349 -1.844 3.893
-2.591 -3.696 -0.032
0.000 0.000 0.000
-4.136 -2.635 2.552
-2.076 -1.323 1.281
-6.390 -1.054 2.520
-3.420 -3.160 5.159
-4.657 -5.004 1.249
```

***

Density functional theory data (PBE) for LiAgTe3Pd after structural relaxation.

POSCAR file:
```
LiAgTe3Pd
1.0
6.536 -1.998 0.000
6.536 1.998 0.000
0.000 0.000 10.968
Ag Li Pd Te
2 2 2 6
Cartesian
5.269 0.000 2.742
7.803 0.000 8.226
9.567 0.000 2.742
3.505 0.000 8.226
0.000 0.000 0.000
0.000 0.000 5.484
4.649 0.000 0.094
0.844 0.000 2.742
4.649 0.000 5.389
8.423 0.000 5.578
12.228 0.000 8.226
8.423 0.000 10.873
```

***

Density functional theory data (PBE) for Li4ZnAgPd2 after structural relaxation.

POSCAR file:
```
Li4ZnAgPd2
1.0
4.334 0.000 0.000
0.000 4.334 0.000
0.000 0.000 6.247
Ag Li Pd Zn
1 4 2 1
Cartesian
0.000 0.000 0.000
2.167 2.167 0.000
2.167 0.000 1.588
0.000 0.000 3.124
0.000 2.167 4.660
0.000 2.167 1.713
2.167 0.000 4.534
2.167 2.167 3.124
```

***

Density functional theory data (PBE) for Li6AgPt after structural relaxation.

POSCAR file:
```
Li6AgPt
1.0
-4.205 1.002 -0.372
-1.055 -3.643 2.107
0.245 3.003 5.316
Ag Li Pt
1 6 1
Cartesian
0.000 0.000 0.000
-2.630 -1.320 0.867
-2.037 1.297 1.223
-0.463 -1.026 2.462
0.123 1.502 2.658
-1.922 2.709 3.721
-0.347 0.386 4.961
-2.507 0.181 3.525
```

M_tot (μB/atom): 0.000

***

Density functional theory data (PBE) for Li2AgPt after structural relaxation.

POSCAR file:
```
Li2AgPt
1.0
0.000 3.129 3.129
3.129 0.000 3.129
3.129 3.129 0.000
Ag Li Pt
1 2 1
Cartesian
3.129 3.129 3.129
0.000 0.000 0.000
1.565 1.565 1.565
4.694 4.694 4.694
```

M_tot (μB/atom): 0.000

***

Density functional theory data (PBE) for LiAg2Pt after structural relaxation.

POSCAR file:
```
LiAg2Pt
1.0
-2.353 -3.772 -0.702
-3.980 -0.579 2.021
-3.793 0.131 -2.419
Ag Li Pt
2 1 1
Cartesian
0.000 0.000 0.000
-7.594 -3.166 -0.825
-5.063 -2.111 -0.550
-2.531 -1.055 -0.275
```

M_tot (μB/atom): 0.000

***

Density functional theory data (PBE) for LiAgPtS3 after structural relaxation.

POSCAR file:
```
LiAgPtS3
1.0
1.830 -6.328 0.000
1.830 6.328 0.000
0.000 0.000 9.679
Ag Li Pt S
2 2 2 6
Cartesian
1.830 -4.501 2.420
1.830 4.501 7.260
1.830 4.160 2.420
1.830 -4.160 7.260
1.830 0.000 0.000
1.830 0.000 4.840
1.830 -4.749 0.075
1.830 -0.661 2.420
1.830 -4.749 4.765
1.830 4.749 4.915
1.830 0.661 7.260
1.830 4.749 9.604
```

M_tot (μB/atom): 0.001

***

Density functional theory data (PBE) for LiAgPtSe2S after structural relaxation.

POSCAR file:
```
LiAgPtSe2S
1.0
1.931 -6.073 0.000
1.931 6.073 0.000
0.000 0.000 10.191
Ag Li Pt S Se
2 2 2 2 4
Cartesian
1.931 1.653 2.548
1.931 -1.653 7.643
1.931 -1.945 2.548
1.931 1.945 7.643
0.000 0.000 0.000
0.000 0.000 5.096
1.931 5.561 2.548
1.931 -5.561 7.643
1.931 1.650 0.053
1.931 1.650 5.043
1.931 -1.650 5.148
1.931 -1.650 10.138
```

M_tot (μB/atom): 0.000

***

Density functional theory data (PBE) for LiAgPtSeS2 after structural relaxation.

POSCAR file:
```
LiAgPtSeS2
1.0
-0.900 4.681 4.848
0.622 -1.558 -6.588
-9.967 -1.247 -0.647
Ag Li Pt S Se
2 2 2 4 2
Cartesian
-2.421 0.391 -2.607
-7.824 1.485 0.219
-2.919 2.432 1.134
-7.326 -0.556 -3.522
0.000 0.000 0.000
-4.983 -0.624 -0.323
-0.080 0.781 -2.281
-4.808 0.189 -2.588
-5.437 1.687 0.200
-10.164 1.095 -0.107
-1.951 -1.533 -6.133
-8.293 3.409 3.746
```

M_tot (μB/atom): 0.005

***

Density functional theory data (PBE) for LiAgTe2PtS after structural relaxation.

POSCAR file:
```
LiAgTe2PtS
1.0
-6.445 0.255 1.428
4.379 -1.526 -4.705
0.419 -10.287 3.727
Ag Li Pt S Te
2 2 2 2 4
Cartesian
-5.156 -2.512 1.689
3.509 -9.047 -1.238
2.988 -3.852 -2.926
-4.635 -7.707 3.376
-1.033 -0.636 -1.638
-0.823 -5.779 0.225
-1.257 -3.153 -0.520
-0.390 -8.405 0.971
-4.920 -0.062 0.590
-4.716 -5.072 2.405
3.069 -6.486 -1.955
3.273 -11.496 -0.140
```

M_tot (μB/atom): 0.000

***

So what do the calculations give for electronic total energy? Going down the list: -3.43; -3.91; -3.25; -3.52; -3.14; -2.83; -3.51; -3.57; -4.20; -3.98; -4.09; -3.82 eV per atom.